Record 1
Density functional theory data (PBE) for Tb2ZrGa3Pt4 after structural relaxation.

Cell lengths 4.1153, 4.1153, 11.4906 Å; angles 90.00, 90.00, 90.00 degrees
Last column: nearest neighbours and their distance in Å.
Sites, in units of the cell vectors:
Tb 0.5000 0.0000 0.2346  4 Ga 3.15, 8 Pt 3.18-3.39
Tb 0.0000 0.5000 0.7654  4 Ga 3.15, 8 Pt 3.18-3.39
Zr 0.5000 0.5000 0.5000  4 Pt 2.71, 4 Ga 2.91
Ga 0.0000 0.0000 0.5000  4 Pt 2.71, 4 Zr 2.91
Ga 0.5000 0.0000 0.8694  5 Pt 2.48-2.55
Ga 0.0000 0.5000 0.1306  5 Pt 2.48-2.55
Pt 0.5000 0.5000 0.0000  4 Ga 2.55
Pt 0.0000 0.0000 0.0000  4 Ga 2.55
Pt 0.5000 0.0000 0.6537  3 Ga 2.48-2.71, 2 Zr 2.71
Pt 0.0000 0.5000 0.3463  3 Ga 2.48-2.71, 2 Zr 2.71

- Density of states at the Fermi level: 0.637 states/eV/atom

Record 2
Density functional theory data (PBE) for Fe5CoIr6 after structural relaxation.

Cell lengths 4.5019, 5.3640, 8.1748 Å; angles 109.15, 121.17, 90.00 degrees
Last column: nearest neighbours and their distance in Å.
Sites, in units of the cell vectors:
Ir 0.1666 0.4151 0.3325  7 Fe 2.61-2.62, 1 Co 2.61, 4 Ir 2.67-2.69
Ir 0.1666 0.9174 0.3325  7 Fe 2.61-2.62, 1 Co 2.61, 4 Ir 2.67-2.69
Ir 0.5000 0.2482 0.0000  2 Co 2.62, 6 Fe 2.62-2.63, 4 Ir 2.66-2.70
Ir 0.5000 0.7518 0.0000  2 Co 2.62, 6 Fe 2.62-2.63, 4 Ir 2.66-2.70
Ir 0.8334 0.0826 0.6675  7 Fe 2.61-2.62, 1 Co 2.61, 4 Ir 2.67-2.69
Ir 0.8334 0.5849 0.6675  7 Fe 2.61-2.62, 1 Co 2.61, 4 Ir 2.67-2.69
Co 0.0000 0.0000 0.0000  8 Ir 2.61-2.62, 4 Fe 2.68
Fe 0.3326 0.8324 0.6648  8 Ir 2.61-2.63, 3 Fe 2.67-2.68, 1 Co 2.68
Fe 0.6674 0.6667 0.3334  8 Ir 2.62-2.63, 4 Fe 2.67-2.68
Fe 0.0000 0.5000 0.0000  8 Ir 2.62-2.63, 2 Fe 2.68, 2 Co 2.68
Fe 0.3326 0.3333 0.6666  8 Ir 2.62-2.63, 4 Fe 2.67-2.68
Fe 0.6674 0.1676 0.3352  8 Ir 2.61-2.63, 3 Fe 2.67-2.68, 1 Co 2.68

- Density of states at the Fermi level: 1.204 states/eV/atom

In eV/cell, the E_tot values for the records above are, in order, -60.8, -102.8.